<i>
# YMn3Tl

YMn3Tl after structural relaxation (PBE-GGA, Alexandria).

a = 5.1827 Å, b = 5.1827 Å, c = 5.1827 Å
α = 90.00°, β = 90.00°, γ = 90.00°
Last column: magnetic moment on the atom in μB.
Atoms (fractional coordinates):
Mn 0.0000 0.5000 0.0000  3.68
Mn 0.0000 0.0000 0.5000  3.46
Mn 0.5000 0.0000 0.0000  4.13
Y 0.0000 0.0000 0.0000  -0.48
Tl 0.5000 0.5000 0.5000  0.01



<ii>
# YMn3Tl

YMn3Tl after structural relaxation (PBE-GGA, Alexandria).

a = 5.0494 Å, b = 5.0494 Å, c = 5.0494 Å
α = 90.00°, β = 90.00°, γ = 90.00°
Last column: magnetic moment on the atom in μB.
Atoms (fractional coordinates):
Y 0.5000 0.5000 0.5000  -0.27
Mn 0.5000 0.0000 0.0000  3.63
Mn 0.0000 0.0000 0.5000  3.97
Mn 0.0000 0.5000 0.0000  3.93
Tl 0.0000 0.0000 0.0000  -0.06



Looking at the structures above, which would you pick as the most stable? I would pick <ii>.